No. 1
# Dy4YRu5

A geometry-optimized Dy4YRu5 structure (GGA-PBE, the Alexandria database).

Cell: 3.404 3.404 16.975 Å, 90.00 90.00 90.00°
Element x y z (fractional)
Dy (0.000, 0.000, 0.200)
Ru (0.500, 0.500, 0.300)
Y (0.000, 0.000, 0.000)
Dy (0.000, 0.000, 0.600)
Dy (0.000, 0.000, 0.800)
Ru (0.500, 0.500, 0.500)
Ru (0.500, 0.500, 0.102)
Ru (0.500, 0.500, 0.898)
Dy (0.000, 0.000, 0.400)
Ru (0.500, 0.500, 0.700)

total magnetic moment	0.0	μB/cell
crystal system	tetragonal
total energy	-7.437	eV/atom
E_form	-0.312	eV/atom

No. 2
# Dy3YRu4

A geometry-optimized Dy3YRu4 structure (GGA-PBE, the Alexandria database).

Cell: 4.804 6.820 9.609 Å, 90.00 90.00 90.00°
Element x y z (fractional)
Ru (0.500, 0.752, 0.500)
Dy (0.000, 0.000, 0.000)
Dy (0.000, 0.000, 0.500)
Y (0.000, 0.500, 0.500)
Dy (0.500, 0.500, 0.250)
Ru (0.000, 0.752, 0.250)
Y (0.000, 0.500, 0.000)
Dy (0.500, 0.000, 0.250)
Ru (0.500, 0.248, 0.500)
Ru (0.000, 0.248, 0.250)
Ru (0.500, 0.248, 0.000)
Dy (0.500, 0.000, 0.750)
Dy (0.500, 0.500, 0.750)
Ru (0.000, 0.248, 0.750)
Ru (0.500, 0.752, 0.000)
Ru (0.000, 0.752, 0.750)

total magnetic moment	0.0	μB/cell
crystal system	tetragonal
total energy	-7.479	eV/atom
E_form	-0.307	eV/atom

No. 3
# Dy2YRu

A geometry-optimized Dy2YRu structure (GGA-PBE, the Alexandria database).

Cell: 3.433 3.433 8.947 Å, 90.00 90.00 90.00°
Element x y z (fractional)
Ru (0.500, 0.500, 0.000)
Dy (0.000, 0.000, 0.184)
Y (0.500, 0.500, 0.500)
Dy (0.000, 0.000, 0.816)

total magnetic moment	0.0	μB/cell
crystal system	tetragonal
total energy	-6.437	eV/atom
E above lowest polymorph	117	meV per atom
E_form	-0.201	eV/atom

No. 4
# Dy2YRu

A geometry-optimized Dy2YRu structure (GGA-PBE, the Alexandria database).

Cell: 3.949 6.251 9.063 Å, 90.00 90.00 108.39°
Element x y z (fractional)
Y (0.425, 0.850, 0.250)
Ru (0.244, 0.488, 0.750)
Dy (0.857, 0.713, 0.567)
Dy (0.143, 0.287, 0.433)
Dy (0.857, 0.713, 0.933)
Y (0.575, 0.150, 0.750)
Ru (0.756, 0.512, 0.250)
Dy (0.143, 0.287, 0.067)

total magnetic moment	0.0	μB/cell
crystal system	orthorhombic
total energy	-6.536	eV/atom
E above lowest polymorph	18	meV per atom
E_form	-0.300	eV/atom

No. 5
# Dy3YRu8

A geometry-optimized Dy3YRu8 structure (GGA-PBE, the Alexandria database).

Cell: 5.326 5.326 9.276 Å, 73.31 73.31 60.00°
Element x y z (fractional)
Dy (0.375, 0.375, 0.875)
Y (0.875, 0.875, 0.375)
Ru (0.437, 0.938, 0.688)
Dy (0.500, 0.500, 0.500)
Ru (0.688, 0.688, 0.937)
Ru (0.938, 0.938, 0.688)
Ru (0.438, 0.938, 0.187)
Ru (0.938, 0.437, 0.688)
Ru (0.438, 0.438, 0.187)
Ru (0.188, 0.188, 0.437)
Dy (0.000, 0.000, 0.000)
Ru (0.938, 0.438, 0.187)

total magnetic moment	0.0	μB/cell
crystal system	trigonal
total energy	-8.169	eV/atom
E_form	-0.296	eV/atom

No. 6
# Dy2YRu2

A geometry-optimized Dy2YRu2 structure (GGA-PBE, the Alexandria database).

Cell: 4.407 5.424 10.920 Å, 111.22 90.00 90.00°
Element x y z (fractional)
Ru (0.750, 0.104, 0.350)
Y (0.250, 0.793, 0.220)
Dy (0.750, 0.721, 0.473)
Dy (0.250, 0.279, 0.527)
Ru (0.750, 0.678, 0.044)
Dy (0.750, 0.223, 0.113)
Y (0.750, 0.207, 0.780)
Ru (0.250, 0.322, 0.956)
Ru (0.250, 0.896, 0.650)
Dy (0.250, 0.777, 0.887)

total magnetic moment	0.0	μB/cell
crystal system	monoclinic
total energy	-7.058	eV/atom
E above lowest polymorph	93	meV per atom
E_form	-0.214	eV/atom

No. 7
# DyY3Ru3

A geometry-optimized DyY3Ru3 structure (GGA-PBE, the Alexandria database).

Cell: 5.845 5.871 5.845 Å, 109.56 109.38 109.56°
Element x y z (fractional)
Ru (0.499, 0.503, 0.000)
Y (0.586, 0.590, 0.586)
Y (0.414, 0.004, 0.000)
Dy (0.000, 0.418, 0.000)
Ru (0.501, 0.004, 0.501)
Y (0.000, 0.004, 0.414)
Ru (0.000, 0.503, 0.499)

total magnetic moment	0.0	μB/cell
crystal system	trigonal
total energy	-7.737	eV/atom
E_form	-0.334	eV/atom

No. 8
# Dy4Y3Ru4

A geometry-optimized Dy4Y3Ru4 structure (GGA-PBE, the Alexandria database).

Cell: 3.551 8.911 9.425 Å, 118.21 100.86 90.00°
Element x y z (fractional)
Ru (0.500, 0.223, 0.000)
Dy (0.335, 0.526, 0.671)
Dy (0.665, 0.474, 0.329)
Ru (0.744, 0.244, 0.488)
Y (0.902, 0.902, 0.803)
Dy (0.665, 0.855, 0.329)
Dy (0.335, 0.145, 0.671)
Y (0.000, 0.500, 0.000)
Y (0.098, 0.098, 0.197)
Ru (0.500, 0.777, 0.000)
Ru (0.256, 0.756, 0.512)

total magnetic moment	0.0	μB/cell
crystal system	orthorhombic
total energy	-7.109	eV/atom
E_form	-0.300	eV/atom

No. 9
# Dy2YRu

A geometry-optimized Dy2YRu structure (GGA-PBE, the Alexandria database).

Cell: 6.307 7.332 9.181 Å, 90.00 90.00 90.00°
Element x y z (fractional)
Ru (0.956, 0.615, 0.750)
Y (0.131, 0.960, 0.750)
Dy (0.833, 0.323, 0.564)
Y (0.631, 0.540, 0.250)
Dy (0.667, 0.823, 0.936)
Y (0.869, 0.040, 0.250)
Dy (0.333, 0.177, 0.064)
Dy (0.167, 0.677, 0.436)
Dy (0.167, 0.677, 0.064)
Ru (0.456, 0.885, 0.250)
Ru (0.544, 0.115, 0.750)
Dy (0.833, 0.323, 0.936)
Dy (0.333, 0.177, 0.436)
Dy (0.667, 0.823, 0.564)
Ru (0.044, 0.385, 0.250)
Y (0.369, 0.460, 0.750)

total magnetic moment	0.0	μB/cell
crystal system	orthorhombic
total energy	-6.554	eV/atom
E above lowest polymorph	0	meV per atom
E_form	-0.318	eV/atom

No. 10
# Dy2YRu3

A geometry-optimized Dy2YRu3 structure (GGA-PBE, the Alexandria database).

Cell: 3.413 4.804 7.596 Å, 108.43 90.00 90.00°
Element x y z (fractional)
Y (0.000, 0.000, 0.000)
Dy (0.000, 0.667, 0.333)
Ru (0.500, 0.500, 0.000)
Ru (0.500, 0.832, 0.664)
Ru (0.500, 0.168, 0.336)
Dy (0.000, 0.333, 0.667)

total magnetic moment	0.0	μB/cell
crystal system	orthorhombic
total energy	-7.555	eV/atom
E_form	-0.306	eV/atom

No. 11
# Dy4YRu2

A geometry-optimized Dy4YRu2 structure (GGA-PBE, the Alexandria database).

Cell: 6.344 7.901 7.768 Å, 112.52 90.00 90.00°
Element x y z (fractional)
Y (0.250, 0.836, 0.976)
Y (0.750, 0.164, 0.024)
Dy (0.250, 0.979, 0.623)
Ru (0.250, 0.259, 0.978)
Ru (0.750, 0.375, 0.414)
Dy (0.499, 0.585, 0.243)
Dy (0.501, 0.415, 0.757)
Dy (0.250, 0.248, 0.324)
Dy (0.999, 0.415, 0.757)
Dy (0.750, 0.752, 0.676)
Dy (0.001, 0.585, 0.243)
Ru (0.750, 0.741, 0.022)
Dy (0.750, 0.021, 0.377)
Ru (0.250, 0.625, 0.586)

total magnetic moment	0.0	μB/cell
crystal system	monoclinic
total energy	-6.452	eV/atom
E_form	-0.248	eV/atom

No. 12
# DyY5Ru6

A geometry-optimized DyY5Ru6 structure (GGA-PBE, the Alexandria database).

Cell: 4.826 6.832 8.327 Å, 114.22 106.73 90.00°
Element x y z (fractional)
Ru (0.834, 0.083, 0.668)
Ru (0.834, 0.586, 0.668)
Ru (0.166, 0.917, 0.332)
Y (0.000, 0.500, 0.000)
Y (0.333, 0.833, 0.666)
Y (0.666, 0.666, 0.333)
Y (0.334, 0.334, 0.667)
Ru (0.166, 0.414, 0.332)
Dy (0.000, 0.000, 0.000)
Ru (0.500, 0.752, 0.000)
Y (0.667, 0.167, 0.334)
Ru (0.500, 0.248, 0.000)

total magnetic moment	0.0	μB/cell
crystal system	monoclinic
total energy	-7.996	eV/atom
E_form	-0.281	eV/atom